[1]
Here is a relaxed structure of CaDy4S6 from Alexandria via LeMat-Bulk. Energies are from GGA-PBE.

Computed properties:
Calculated total energy, eV/cell: -271.3
Formation energy (no corrections), meV/atom: -2059

Cell: 3.886 12.914 20.017 Å, 90.00 90.00 90.00°
Space group Cmcm (No. 63)
Asymmetric unit:
1 Ca 0.000 0.157 0.250 (multiplicity 4)
2 Dy 0.000 0.094 0.631 (multiplicity 8)
3 Dy 0.000 0.363 0.541 (multiplicity 8)
4 S 0.000 0.000 0.000 (multiplicity 4)
5 S 0.000 0.188 0.750 (multiplicity 4)
6 S 0.000 0.271 0.086 (multiplicity 8)
7 S 0.000 0.455 0.664 (multiplicity 8)

---

[2]
Here is a relaxed structure of Ca3DyS4 from Alexandria via LeMat-Bulk. Energies are from GGA-PBE.

Computed properties:
Calculated total energy, eV/cell: -87.8
Formation energy (no corrections), meV/atom: -2099

Cell: 8.003 11.297 3.985 Å, 90.00 90.00 90.00°
Space group Cmmm (No. 65)
Asymmetric unit:
1 Ca 0.000 0.000 0.000 (multiplicity 2)
2 Ca 0.250 0.250 0.500 (multiplicity 4)
3 Dy 0.000 0.500 0.000 (multiplicity 2)
4 S 0.000 0.254 0.000 (multiplicity 4)
5 S 0.244 0.500 0.500 (multiplicity 4)

---

[3]
Here is a relaxed structure of Ca2DyS3 from Alexandria via LeMat-Bulk. Energies are from GGA-PBE.

Computed properties:
Calculated total energy, eV/cell: -66.9
Relative energy among the computed polymorphs, eV per formula unit: 0.03
Formation energy (no corrections), meV/atom: -2078

Cell: 3.969 5.628 11.974 Å, 90.00 90.00 90.00°
Space group Immm (No. 71)
Asymmetric unit:
1 Ca 0.000 0.000 0.168 (multiplicity 4)
2 Dy 0.000 0.000 0.500 (multiplicity 2)
3 S 0.000 0.500 0.162 (multiplicity 4)
4 S 0.000 0.500 0.500 (multiplicity 2)

---

[4]
Here is a relaxed structure of Ca3Dy4S8 from Alexandria via LeMat-Bulk. Energies are from GGA-PBE.

Computed properties:
Calculated total energy, eV/cell: -177.4
Formation energy (no corrections), meV/atom: -2085

Cell: 11.153 11.185 7.882 Å, 90.00 134.62 90.00°
Space group C2/m (No. 12)
Asymmetric unit:
1 Ca 0.000 0.000 0.000 (multiplicity 2)
2 Ca 0.250 0.250 0.000 (multiplicity 4)
3 Dy 0.000 0.500 0.000 (multiplicity 2)
4 Dy 0.000 0.500 0.500 (multiplicity 2)
5 Dy 0.250 0.250 0.500 (multiplicity 4)
6 S 0.000 0.252 0.000 (multiplicity 4)
7 S 0.000 0.254 0.500 (multiplicity 4)
8 S 0.239 0.500 0.987 (multiplicity 4)
9 S 0.245 0.500 0.495 (multiplicity 4)

---

[5]
Here is a relaxed structure of CaDy6S8 from Alexandria via LeMat-Bulk. Energies are from GGA-PBE.

Computed properties:
Calculated total energy, eV/cell: -374.4
Formation energy (no corrections), meV/atom: -2064

Cell: 11.045 11.045 11.045 Å, 90.00 90.00 90.00°
Space group Fm-3m (No. 225)
Asymmetric unit:
1 Ca 0.000 0.000 0.000 (multiplicity 4)
2 Dy 0.000 0.250 0.250 (multiplicity 24)
3 S 0.000 0.000 0.252 (multiplicity 24)
4 S 0.250 0.250 0.250 (multiplicity 8)

---

[6]
Here is a relaxed structure of Ca2DyS4 from Alexandria via LeMat-Bulk. Energies are from GGA-PBE.

Computed properties:
Calculated total energy, eV/cell: -150.1
Formation energy (no corrections), meV/atom: -1773

Cell: 3.854 13.621 12.759 Å, 90.00 90.00 90.00°
Space group Cmcm (No. 63)
Asymmetric unit:
1 Ca 0.000 0.130 0.070 (multiplicity 8)
2 Dy 0.000 0.379 0.250 (multiplicity 4)
3 S 0.000 0.018 0.250 (multiplicity 4)
4 S 0.000 0.224 0.628 (multiplicity 8)
5 S 0.000 0.500 0.000 (multiplicity 4)

---

[7]
Here is a relaxed structure of Ca4DyS5 from Alexandria via LeMat-Bulk. Energies are from GGA-PBE.

Computed properties:
Calculated total energy, eV/cell: -108.7
Formation energy (no corrections), meV/atom: -2112

Cell: 3.997 3.997 28.403 Å, 90.00 90.00 90.00°
Space group I4/mmm (No. 139)
Asymmetric unit:
1 Ca 0.000 0.000 0.099 (multiplicity 4)
2 Ca 0.000 0.000 0.300 (multiplicity 4)
3 Dy 0.000 0.000 0.500 (multiplicity 2)
4 S 0.000 0.000 0.000 (multiplicity 2)
5 S 0.000 0.000 0.200 (multiplicity 4)
6 S 0.000 0.000 0.402 (multiplicity 4)

---

[8]
Here is a relaxed structure of CaDy3S6 from Alexandria via LeMat-Bulk. Energies are from GGA-PBE.

Computed properties:
Calculated total energy, eV/cell: -118.8
Formation energy (no corrections), meV/atom: -1881

Cell: 11.018 3.981 11.420 Å, 90.00 107.77 90.00°
Space group P2_1/m (No. 11)
Asymmetric unit:
1 Ca 0.047 0.250 0.193 (multiplicity 2)
2 Dy 0.160 0.250 0.585 (multiplicity 2)
3 Dy 0.313 0.750 0.999 (multiplicity 2)
4 Dy 0.437 0.250 0.332 (multiplicity 2)
5 S 0.085 0.750 0.410 (multiplicity 2)
6 S 0.118 0.250 0.957 (multiplicity 2)
7 S 0.203 0.750 0.750 (multiplicity 2)
8 S 0.263 0.750 0.231 (multiplicity 2)
9 S 0.397 0.250 0.560 (multiplicity 2)
10 S 0.474 0.250 0.110 (multiplicity 2)

---

[9]
Here is a relaxed structure of CaDySc4S8 from Alexandria via LeMat-Bulk. Energies are from GGA-PBE.

Computed properties:
Calculated total energy, eV/cell: -274.1
Formation energy (no corrections), meV/atom: -1886

Cell: 7.7252 7.7252 19.3456 Å, 90.00 90.00 120.00°
Space group R3m (No. 160, hexagonal axes)
Asymmetric unit:
1 Ca 0.0000 0.0000 0.0000 (multiplicity 3)
2 Dy 0.0000 0.0000 0.6297 (multiplicity 3)
3 Sc 0.0000 0.0000 0.2545 (multiplicity 3)
4 Sc 0.1690 0.3380 0.4608 (multiplicity 9)
5 S 0.0000 0.0000 0.3858 (multiplicity 3)
6 S 0.0000 0.0000 0.8633 (multiplicity 3)
7 S 0.0281 0.5140 0.3870 (multiplicity 9)
8 S 0.1727 0.3455 0.2062 (multiplicity 9)

---

[10]
Here is a relaxed structure of CaDySc2S4 from Alexandria via LeMat-Bulk. Energies are from GGA-PBE.

Computed properties:
Calculated total energy, eV/cell: -51.3
Formation energy (no corrections), meV/atom: -1945

Cell: 6.623 3.802 6.625 Å, 90.00 109.13 90.00°
Space group P2/m (No. 10)
Asymmetric unit:
1 Ca 0.000 0.000 0.000 (multiplicity 1)
2 Dy 0.500 0.500 0.000 (multiplicity 1)
3 Sc 0.000 0.500 0.500 (multiplicity 1)
4 Sc 0.500 0.000 0.500 (multiplicity 1)
5 S 0.246 0.000 0.734 (multiplicity 2)
6 S 0.257 0.500 0.267 (multiplicity 2)

---

[11]
Here is a relaxed structure of CaDy4ScS8 from Alexandria via LeMat-Bulk. Energies are from GGA-PBE.

Computed properties:
Calculated total energy, eV/cell: -262.1
Formation energy (no corrections), meV/atom: -1971

Cell: 8.0663 8.0663 19.3560 Å, 90.00 90.00 120.00°
Space group R3m (No. 160, hexagonal axes)
Asymmetric unit:
1 Ca 0.0000 0.0000 0.0000 (multiplicity 3)
2 Dy 0.0000 0.0000 0.2452 (multiplicity 3)
3 Dy 0.1694 0.3389 0.4550 (multiplicity 9)
4 Sc 0.0000 0.0000 0.6248 (multiplicity 3)
5 S 0.0000 0.0000 0.3796 (multiplicity 3)
6 S 0.0000 0.0000 0.8627 (multiplicity 3)
7 S 0.0349 0.5174 0.3721 (multiplicity 9)
8 S 0.1805 0.3611 0.2060 (multiplicity 9)

---

[12]
Here is a relaxed structure of CaDySeS from Alexandria via LeMat-Bulk. Energies are from GGA-PBE.

Computed properties:
Calculated total energy, eV/cell: -64.8
Formation energy (no corrections), meV/atom: -1846

Cell: 3.9497 3.9497 21.2449 Å, 90.00 90.00 120.00°
Space group R3m (No. 160, hexagonal axes)
Asymmetric unit:
1 Ca 0.0000 0.0000 0.0000 (multiplicity 3)
2 Dy 0.0000 0.0000 0.8324 (multiplicity 3)
3 Se 0.0000 0.0000 0.4181 (multiplicity 3)
4 S 0.0000 0.0000 0.2447 (multiplicity 3)

---

[13]
Here is a relaxed structure of CaSm4DyS8 from Alexandria via LeMat-Bulk. Energies are from GGA-PBE.

Computed properties:
Calculated total energy, eV/cell: -258.9
Formation energy (no corrections), meV/atom: -1986

Cell: 8.2357 8.2357 20.0505 Å, 90.00 90.00 120.00°
Space group R3m (No. 160, hexagonal axes)
Asymmetric unit:
1 Ca 0.0000 0.0000 0.0000 (multiplicity 3)
2 Sm 0.0000 0.0000 0.2491 (multiplicity 3)
3 Sm 0.1692 0.3383 0.4574 (multiplicity 9)
4 Dy 0.0000 0.0000 0.6267 (multiplicity 3)
5 S 0.0000 0.0000 0.3824 (multiplicity 3)
6 S 0.0000 0.0000 0.8657 (multiplicity 3)
7 S 0.0276 0.5138 0.3758 (multiplicity 9)
8 S 0.1794 0.3589 0.2070 (multiplicity 9)

---

[14]
Here is a relaxed structure of Ca3SmDy3S8 from Alexandria via LeMat-Bulk. Energies are from GGA-PBE.

Computed properties:
Calculated total energy, eV/cell: -266.1
Formation energy (no corrections), meV/atom: -2076

Cell: 7.9032 7.9032 19.6559 Å, 90.00 90.00 120.00°
Space group R-3m (No. 166, hexagonal axes)
Asymmetric unit:
1 Ca 0.0000 0.5000 0.0000 (multiplicity 9)
2 Sm 0.0000 0.0000 0.5000 (multiplicity 3)
3 Dy 0.0000 0.5000 0.5000 (multiplicity 9)
4 S 0.0000 0.0000 0.2479 (multiplicity 6)
5 S 0.0037 0.5018 0.7527 (multiplicity 18)

---

[15]
Here is a relaxed structure of Ca2SmDyS4 from Alexandria via LeMat-Bulk. Energies are from GGA-PBE.

Computed properties:
Calculated total energy, eV/cell: -46.3
Formation energy (no corrections), meV/atom: -2056

Cell: 6.866 3.965 6.981 Å, 90.00 109.14 90.00°
Space group P2/m (No. 10)
Asymmetric unit:
1 Ca 0.000 0.000 0.000 (multiplicity 1)
2 Ca 0.500 0.500 0.000 (multiplicity 1)
3 Sm 0.000 0.500 0.500 (multiplicity 1)
4 Dy 0.500 0.000 0.500 (multiplicity 1)
5 S 0.255 0.000 0.750 (multiplicity 2)
6 S 0.255 0.500 0.253 (multiplicity 2)

---

[16]
Here is a relaxed structure of CaSmDy4S8 from Alexandria via LeMat-Bulk. Energies are from GGA-PBE.

Computed properties:
Calculated total energy, eV/cell: -258.3
Formation energy (no corrections), meV/atom: -1997

Cell: 8.1007 8.1007 19.9823 Å, 90.00 90.00 120.00°
Space group R3m (No. 160, hexagonal axes)
Asymmetric unit:
1 Ca 0.0000 0.0000 0.0000 (multiplicity 3)
2 Sm 0.0000 0.0000 0.3726 (multiplicity 3)
3 Dy 0.0000 0.0000 0.7491 (multiplicity 3)
4 Dy 0.0051 0.5026 0.8751 (multiplicity 9)
5 S 0.0000 0.0000 0.1351 (multiplicity 3)
6 S 0.0000 0.0000 0.6163 (multiplicity 3)
7 S 0.0172 0.5086 0.1288 (multiplicity 9)
8 S 0.1788 0.3576 0.9523 (multiplicity 9)

---

[17]
Here is a relaxed structure of CaSm2DyS4 from Alexandria via LeMat-Bulk. Energies are from GGA-PBE.

Computed properties:
Calculated total energy, eV/cell: -48.8
Formation energy (no corrections), meV/atom: -2034

Cell: 6.887 3.961 6.927 Å, 90.00 109.11 90.00°
Space group P2/m (No. 10)
Asymmetric unit:
1 Ca 0.000 0.000 0.000 (multiplicity 1)
2 Sm 0.000 0.500 0.500 (multiplicity 1)
3 Sm 0.500 0.000 0.500 (multiplicity 1)
4 Dy 0.500 0.500 0.000 (multiplicity 1)
5 S 0.250 0.500 0.243 (multiplicity 2)
6 S 0.254 0.000 0.759 (multiplicity 2)

---

[18]
Here is a relaxed structure of Sr2CaDyS4 from Alexandria via LeMat-Bulk. Energies are from GGA-PBE.

Computed properties:
Calculated total energy, eV/cell: -43.1
Formation energy (no corrections), meV/atom: -2084

Cell: 7.103 4.092 7.160 Å, 90.00 109.23 90.00°
Space group P2/m (No. 10)
Asymmetric unit:
1 Sr 0.000 0.000 0.000 (multiplicity 1)
2 Sr 0.500 0.500 0.000 (multiplicity 1)
3 Ca 0.000 0.500 0.500 (multiplicity 1)
4 Dy 0.500 0.000 0.500 (multiplicity 1)
5 S 0.250 0.000 0.732 (multiplicity 2)
6 S 0.261 0.500 0.271 (multiplicity 2)

---

[19]
Here is a relaxed structure of SrCaDy2S4 from Alexandria via LeMat-Bulk. Energies are from GGA-PBE.

Computed properties:
Calculated total energy, eV/cell: -45.7
Formation energy (no corrections), meV/atom: -2037

Cell: 6.907 3.990 7.051 Å, 90.00 109.08 90.00°
Space group P2/m (No. 10)
Asymmetric unit:
1 Sr 0.000 0.000 0.000 (multiplicity 1)
2 Ca 0.500 0.500 0.000 (multiplicity 1)
3 Dy 0.000 0.500 0.500 (multiplicity 1)
4 Dy 0.500 0.000 0.500 (multiplicity 1)
5 S 0.252 0.000 0.739 (multiplicity 2)
6 S 0.261 0.500 0.266 (multiplicity 2)

---

[20]
Here is a relaxed structure of SrCa2DyS4 from Alexandria via LeMat-Bulk. Energies are from GGA-PBE.

Computed properties:
Calculated total energy, eV/cell: -43.4
Formation energy (no corrections), meV/atom: -2074

Cell: 7.005 4.044 7.053 Å, 90.00 109.32 90.00°
Space group P2/m (No. 10)
Asymmetric unit:
1 Sr 0.000 0.000 0.000 (multiplicity 1)
2 Ca 0.500 0.000 0.500 (multiplicity 1)
3 Ca 0.500 0.500 0.000 (multiplicity 1)
4 Dy 0.000 0.500 0.500 (multiplicity 1)
5 S 0.248 0.000 0.738 (multiplicity 2)
6 S 0.255 0.500 0.264 (multiplicity 2)